Entry from the Alexandria database: an optimized crystal structure of PrNiGe3 (PBE-GGA).

a b c (Å): 4.1097 5.8988 9.3317
angles (deg): 90.00 102.72 90.00
Sites, in units of the cell vectors:
Pr  0.8797  0.7500  0.7595
Pr  0.1203  0.2500  0.2405
Ni  0.6037  0.7500  0.2074
Ni  0.3963  0.2500  0.7926
Ge  0.7105  0.9718  0.4210
Ge  0.2895  0.0282  0.5790
Ge  0.2895  0.4718  0.5790
Ge  0.7105  0.5282  0.4210
Ge  0.0475  0.7500  0.0950
Ge  0.9525  0.2500  0.9050

Computed properties:
- SG: Cmcm
- Formation energy from the elements: -0.267 eV/atom
- Spin magnetization: 0.000 μB per atom
- Crystal system: orthorhombic